The following is a DFT calculation (GGA+U) of crystalline Fe2MoO4 at its relaxed geometry.

Results
E_tot, eV/atom: -6.909

```
data_Fe2MoO4
_cell_length_a 6.2238
_cell_length_b 6.2238
_cell_length_c 6.1800
_cell_angle_alpha 60.23
_cell_angle_beta 60.23
_cell_angle_gamma 60.61
_symmetry_space_group_name_H-M 'P 1'
_symmetry_Int_Tables_number 1
loop_
_symmetry_equiv_pos_as_xyz
'x,y,z'
loop_
_atom_site_label
_atom_site_type_symbol
_atom_site_fract_x
_atom_site_fract_y
_atom_site_fract_z
Fe1 Fe 0.2434 0.2434 0.2566
Fe2 Fe 0.0066 0.0066 0.9934
Fe3 Fe 0.6250 0.6250 0.6250
Fe4 Fe 0.6250 0.6250 0.1250
O1 O 0.3717 0.3717 0.8717
O2 O 0.3717 0.3717 0.3849
O3 O 0.3823 0.8637 0.3770
O4 O 0.8677 0.3863 0.8730
O5 O 0.3863 0.8677 0.8730
O6 O 0.8783 0.8783 0.8651
O7 O 0.8783 0.8783 0.3783
O8 O 0.8637 0.3823 0.3770
Mo1 Mo 0.1250 0.6250 0.6250
Mo2 Mo 0.6250 0.1250 0.6250
```